(1)
An optimized crystal structure of Y2HgSb. Source: the Alexandria database, functional GGA-PBE.

The density comes out at 7.91 g/cm³. The offset from the most stable computed form is 0.137 eV per atom. As for the uncorrected formation energy: -2.60 eV per formula unit.

It has space group I4/mmm (No. 139), with a = 4.971 Å, b = 4.971 Å, c = 8.502 Å, α = 90.00°, β = 90.00° and γ = 90.00°. Symmetry generates all atoms from Y at (0.000, 0.500, 0.250), Hg at (0.000, 0.000, 0.000) and Sb at (0.000, 0.000, 0.500).

(2)
An optimized crystal structure of Ti5Al2Tc. Source: the Alexandria database, functional GGA-PBE.

The calculation puts the formation energy at -0.35 eV per atom. The density comes out at 5.05 g/cm³.

It has space group I4/mmm (No. 139), with a = 4.605 Å, b = 4.605 Å, c = 12.124 Å, α = 90.00°, β = 90.00° and γ = 90.00°. Symmetry generates all atoms from Ti at (0.000, 0.000, 0.000), Ti at (0.000, 0.500, 0.118), Al at (0.000, 0.000, 0.251) and Tc at (0.000, 0.000, 0.500).

(3)
An optimized crystal structure of Pr2NbSbN5. Source: the Alexandria database, functional GGA-PBE.

The density comes out at 7.33 g/cm³. As for the uncorrected formation energy: -6.01 eV per formula unit.

It has space group Cmc2_1 (No. 36), with a = 3.400 Å, b = 13.951 Å, c = 10.831 Å, α = 90.00°, β = 90.00° and γ = 90.00°. Symmetry generates all atoms from Pr at (0.000, 0.113, 0.000), Pr at (0.000, 0.146, 0.580), Nb at (0.000, 0.229, 0.309), Sb at (0.000, 0.473, 0.760), N at (0.000, 0.055, 0.359), N at (0.000, 0.280, 0.939), N at (0.000, 0.314, 0.680), N at (0.000, 0.368, 0.302) and N at (0.000, 0.491, 0.081).

(4)
An optimized crystal structure of Cd6PbAu12. Source: the Alexandria database, functional GGA-PBE.

The calculation puts the formation energy at -0.05 eV per atom. The density comes out at 13.21 g/cm³.

It has space group R-3m (No. 166, hexagonal axes), with a = 12.4145 Å, b = 12.4145 Å, c = 9.1711 Å, α = 90.00°, β = 90.00° and γ = 120.00°. Symmetry generates all atoms from Cd at (0.0703, 0.5352, 0.2331), Pb at (0.0000, 0.0000, 0.0000), Au at (0.0000, 0.3874, 0.5000) and Au at (0.0812, 0.1624, 0.2650).

(5)
An optimized crystal structure of RbCeNb2O8. Source: the Alexandria database, functional GGA-PBE.

The density comes out at 3.42 g/cm³. As for the uncorrected formation energy: -29.38 eV per formula unit.

It has space group P-3 (No. 147), with a = 6.1655 Å, b = 6.1655 Å, c = 7.9518 Å, α = 90.00°, β = 90.00° and γ = 120.00°. Symmetry generates all atoms from Rb at (0.0000, 0.0000, 0.0000), Ce at (0.0000, 0.0000, 0.5000), Nb at (0.3333, 0.6667, 0.7487), O at (0.1645, 0.3311, 0.6744) and O at (0.3333, 0.6667, 0.9801).

(6)
An optimized crystal structure of NaAsP2. Source: the Alexandria database, functional GGA-PBE.

The calculation puts the formation energy at 0.01 eV per atom. The density comes out at 2.79 g/cm³.

It has space group I-42d (No. 122), with a = 6.659 Å, b = 6.659 Å, c = 8.579 Å, α = 90.00°, β = 90.00° and γ = 90.00°. Symmetry generates all atoms from Na at (0.000, 0.000, 0.000), As at (0.000, 0.000, 0.500) and P at (0.182, 0.250, 0.625).

(7)
An optimized crystal structure of Pm2Y8Th3. Source: the Alexandria database, functional GGA-PBE.

The calculation puts the formation energy at 0.27 eV per atom. The density comes out at 6.29 g/cm³. The offset from the most stable computed form is 0.106 eV per atom.

It has space group Cmmm (No. 65), with a = 7.893 Å, b = 20.228 Å, c = 5.611 Å, α = 90.00°, β = 90.00° and γ = 90.00°. Symmetry generates all atoms from Pm at (0.000, 0.239, 0.000), Y at (0.000, 0.126, 0.500), Y at (0.000, 0.332, 0.500), Y at (0.204, 0.395, 0.000), Th at (0.000, 0.000, 0.000) and Th at (0.203, 0.500, 0.500).

(8)
An optimized crystal structure of CuTe2Mo. Source: the Alexandria database, functional GGA-PBE.

The density comes out at 8.31 g/cm³. The offset from the most stable computed form is 0.511 eV per atom. As for the uncorrected formation energy: 2.43 eV per formula unit.

It has space group Cmmm (No. 65), with a = 3.552 Å, b = 5.511 Å, c = 8.463 Å, α = 90.00°, β = 90.00° and γ = 90.00°. Symmetry generates all atoms from Cu at (0.000, 0.000, 0.000), Te at (0.000, 0.500, 0.249) and Mo at (0.000, 0.000, 0.500).

(9)
An optimized crystal structure of Tb2Ni12Ge7. Source: the Alexandria database, functional GGA-PBE.

The calculation puts the formation energy at -0.50 eV per atom. The density comes out at 8.71 g/cm³.

It has space group P-6 (No. 174), with a = 9.4191 Å, b = 9.4191 Å, c = 3.7974 Å, α = 90.00°, β = 90.00° and γ = 120.00°. Symmetry generates all atoms from Tb at (0.0000, 0.0000, 0.0000), Tb at (0.3333, 0.6667, 0.5000), Ni at (0.0371, 0.2830, 0.5000), Ni at (0.1155, 0.7303, 0.0000), Ni at (0.3847, 0.1832, 0.0000), Ni at (0.5564, 0.4253, 0.5000), Ge at (0.0608, 0.4565, 0.0000), Ge at (0.2620, 0.2302, 0.5000) and Ge at (0.6667, 0.3333, 0.0000).

(10)
An optimized crystal structure of CaAsN3. Source: the Alexandria database, functional GGA-PBE.

The density comes out at 4.68 g/cm³. As for the uncorrected formation energy: 2.77 eV per formula unit.

It has space group Pm-3m (No. 221), with a = 3.820 Å, b = 3.820 Å, c = 3.820 Å, α = 90.00°, β = 90.00° and γ = 90.00°. Symmetry generates all atoms from Ca at (0.000, 0.000, 0.000), As at (0.500, 0.500, 0.500) and N at (0.000, 0.500, 0.500).

(11)
An optimized crystal structure of NdNp2Fe9. Source: the Alexandria database, functional GGA-PBE.

The calculation puts the formation energy at 0.08 eV per atom. The density comes out at 10.78 g/cm³.

It has space group R-3m (No. 166, hexagonal axes), with a = 4.8659 Å, b = 4.8659 Å, c = 25.2621 Å, α = 90.00°, β = 90.00° and γ = 120.00°. Symmetry generates all atoms from Nd at (0.0000, 0.0000, 0.0000), Np at (0.0000, 0.0000, 0.1445), Fe at (0.0000, 0.0000, 0.3317), Fe at (0.0000, 0.0000, 0.5000) and Fe at (0.0033, 0.5017, 0.0817).

(12)
An optimized crystal structure of Pm2ErTmTh. Source: the Alexandria database, functional GGA-PBE.

The calculation puts the formation energy at 0.31 eV per atom. The density comes out at 8.38 g/cm³.

It has space group P2/c (No. 13), with a = 8.424 Å, b = 6.341 Å, c = 6.366 Å, α = 90.00°, β = 90.24° and γ = 90.00°. Symmetry generates all atoms from Pm at (0.191, 0.214, 0.251), Er at (0.500, 0.500, 0.000), Tm at (0.000, 0.307, 0.750) and Th at (0.500, 0.055, 0.750).